Entry 1:
# CoGeW2 PBE relaxed
data_CoGeW2
_cell_length_a 6.817
_cell_length_b 6.817
_cell_length_c 5.505
_cell_angle_alpha 51.75
_cell_angle_beta 51.75
_cell_angle_gamma 90.00
_space_group_name_H-M_alt 'P 1'
_space_group_IT_number 1
loop_
_space_group_symop_operation_xyz
'x,y,z'
loop_
_atom_site_label
_atom_site_type_symbol
_atom_site_fract_x
_atom_site_fract_y
_atom_site_fract_z
_atom_site_occupancy
Ge1 Ge 0.000 0.000 0.000 1
Ge2 Ge 0.750 0.250 0.500 1
Co1 Co 0.500 0.500 0.000 1
Co2 Co 0.250 0.750 0.500 1
W1 W 0.603 0.125 0.250 1
W2 W 0.147 0.625 0.250 1
W3 W 0.375 0.397 0.750 1
W4 W 0.875 0.853 0.750 1
# formation energy from the elements = 0.629 eV/atom
# DOS at the Fermi energy = 0.829 states/eV/atom

Entry 2:
# SmGePd4 PBE relaxed
data_SmGePd4
_cell_length_a 5.369
_cell_length_b 5.369
_cell_length_c 5.369
_cell_angle_alpha 60.00
_cell_angle_beta 60.00
_cell_angle_gamma 60.00
_space_group_name_H-M_alt 'P 1'
_space_group_IT_number 1
loop_
_space_group_symop_operation_xyz
'x,y,z'
loop_
_atom_site_label
_atom_site_type_symbol
_atom_site_fract_x
_atom_site_fract_y
_atom_site_fract_z
_atom_site_occupancy
Ge1 Ge 0.000 0.000 0.000 1
Pd1 Pd 0.625 0.625 0.124 1
Pd2 Pd 0.625 0.124 0.625 1
Pd3 Pd 0.625 0.625 0.625 1
Pd4 Pd 0.124 0.625 0.625 1
Sm1 Sm 0.250 0.250 0.250 1
# formation energy from the elements = -0.486 eV/atom
# DOS at the Fermi energy = 0.698 states/eV/atom
# energy above the most stable polymorph in this dataset = 0.189 eV per atom

Entry 3:
# KScTi PBE relaxed
data_KScTi
_cell_length_a 9.847
_cell_length_b 3.159
_cell_length_c 11.700
_cell_angle_alpha 90.00
_cell_angle_beta 90.00
_cell_angle_gamma 90.00
_space_group_name_H-M_alt 'P 1'
_space_group_IT_number 1
loop_
_space_group_symop_operation_xyz
'x,y,z'
loop_
_atom_site_label
_atom_site_type_symbol
_atom_site_fract_x
_atom_site_fract_y
_atom_site_fract_z
_atom_site_occupancy
Sc1 Sc 0.906 0.250 0.412 1
Sc2 Sc 0.594 0.750 0.912 1
Sc3 Sc 0.094 0.750 0.588 1
Sc4 Sc 0.406 0.250 0.088 1
K1 K 0.948 0.250 0.861 1
K2 K 0.552 0.750 0.361 1
K3 K 0.052 0.750 0.139 1
K4 K 0.448 0.250 0.639 1
Ti1 Ti 0.202 0.250 0.388 1
Ti2 Ti 0.298 0.750 0.888 1
Ti3 Ti 0.798 0.750 0.612 1
Ti4 Ti 0.702 0.250 0.112 1
# formation energy from the elements = 0.784 eV/atom
# DOS at the Fermi energy = 1.534 states/eV/atom
# energy above the most stable polymorph in this dataset = 0.547 eV per atom

Entry 4:
# SrScAs3 PBE relaxed
data_SrScAs3
_cell_length_a 5.403
_cell_length_b 5.403
_cell_length_c 5.403
_cell_angle_alpha 90.00
_cell_angle_beta 90.00
_cell_angle_gamma 90.00
_space_group_name_H-M_alt 'P 1'
_space_group_IT_number 1
loop_
_space_group_symop_operation_xyz
'x,y,z'
loop_
_atom_site_label
_atom_site_type_symbol
_atom_site_fract_x
_atom_site_fract_y
_atom_site_fract_z
_atom_site_occupancy
Sc1 Sc 0.500 0.500 0.500 1
Sr1 Sr 0.000 0.000 0.000 1
As1 As 0.000 0.500 0.000 1
As2 As 0.000 0.000 0.500 1
As3 As 0.500 0.000 0.000 1
# formation energy from the elements = 0.718 eV/atom
# DOS at the Fermi energy = 0.867 states/eV/atom
# energy above the most stable polymorph in this dataset = 1.281 eV per atom

Entry 5:
# MnSnIrS PBE relaxed
data_MnSnIrS
_cell_length_a 3.525
_cell_length_b 3.525
_cell_length_c 6.459
_cell_angle_alpha 90.00
_cell_angle_beta 90.00
_cell_angle_gamma 120.00
_space_group_name_H-M_alt 'P 1'
_space_group_IT_number 1
loop_
_space_group_symop_operation_xyz
'x,y,z'
loop_
_atom_site_label
_atom_site_type_symbol
_atom_site_fract_x
_atom_site_fract_y
_atom_site_fract_z
_atom_site_occupancy
S1 S 0.000 0.000 0.319 1
Ir1 Ir 0.667 0.333 0.522 1
Sn1 Sn 0.333 0.667 0.806 1
Mn1 Mn 0.667 0.333 0.108 1
# DOS at the Fermi energy = 0.543 states/eV/atom
# energy relative to the elements, uncorrected = 0.009 eV/atom
# energy above the most stable polymorph in this dataset = 0.206 eV per atom

Entry 6:
# Ce2NdYN4 PBE relaxed
data_Ce2NdYN4
_cell_length_a 3.566
_cell_length_b 6.185
_cell_length_c 6.167
_cell_angle_alpha 109.48
_cell_angle_beta 90.00
_cell_angle_gamma 90.00
_space_group_name_H-M_alt 'P 1'
_space_group_IT_number 1
loop_
_space_group_symop_operation_xyz
'x,y,z'
loop_
_atom_site_label
_atom_site_type_symbol
_atom_site_fract_x
_atom_site_fract_y
_atom_site_fract_z
_atom_site_occupancy
Ce1 Ce 0.500 0.000 0.500 1
Ce2 Ce 0.000 0.500 0.500 1
Nd1 Nd 0.500 0.500 0.000 1
Y1 Y 0.000 0.000 0.000 1
N1 N 0.500 0.245 0.255 1
N2 N 0.500 0.755 0.745 1
N3 N 0.000 0.240 0.739 1
N4 N 0.000 0.760 0.261 1
# DOS at the Fermi energy = 0.586 states/eV/atom
# energy relative to the elements, uncorrected = -1.515 eV/atom